1.
This record from Alexandria via LeMat-Bulk describes SbPtCl6 after structural relaxation. The functional is PBE-GGA.

- total magnetization (μB per cell) = 0.00
- N(E_F) (states/eV/f.u.) = 1.84
- theoretical density (g cm⁻³) = 3.7
- raw total energy (eV per atom) = -3.225
- raw formation energy (meV per atom) = -569.6

Unit cell a=6.4442 b=6.8324 c=6.8324 alpha=123.67 beta=98.38 gamma=98.38
Atoms (fractional coordinates):
Sb (0.0000, 0.0000, 0.0000)
Pt (0.5000, 0.5000, 0.5000)
Cl (0.7186, 0.5774, 0.8553)
Cl (0.7186, 0.8553, 0.5774)
Cl (0.2814, 0.1447, 0.4226)
Cl (0.2814, 0.4226, 0.1447)
Cl (0.7558, 0.2423, 0.2423)
Cl (0.2442, 0.7577, 0.7577)



2.
This record from Alexandria via LeMat-Bulk describes Hf2GaSn2 after structural relaxation. The functional is PBE-GGA.

- total magnetization (μB per cell) = 0.00
- N(E_F) (states/eV/f.u.) = 2.06
- energy of formation (eV/atom) = -0.229
- theoretical density (g cm⁻³) = 9.8
- raw total energy (eV per atom) = -6.417
- relative energy among the computed polymorphs (eV/atom) = 0.000

Unit cell a=7.2228 b=7.2228 c=4.3204 alpha=90.00 beta=90.00 gamma=90.00
Atoms (fractional coordinates):
Hf (0.3398, 0.8398, 0.0000)
Hf (0.8398, 0.6602, 0.0000)
Hf (0.6602, 0.1602, 0.0000)
Hf (0.1602, 0.3398, 0.0000)
Sn (0.1493, 0.6493, 0.5000)
Sn (0.6493, 0.8507, 0.5000)
Sn (0.8507, 0.3507, 0.5000)
Sn (0.3507, 0.1493, 0.5000)
Ga (0.0000, 0.0000, 0.0000)
Ga (0.5000, 0.5000, 0.0000)